A relaxed structure of CdCu15. Source: OQMD, functional PBE-GGA.

Cell and atoms, written as POSCAR:
```
CdCu15
1.0
-0.807 -3.854 -1.905
28.139 1.834 -15.635
2.129 -0.784 3.740
Cd Cu
2 30
Direct
0.000 0.188 0.000
0.000 0.812 0.500
0.500 0.240 0.000
0.000 0.281 0.000
0.500 0.321 0.000
0.000 0.361 0.000
0.500 0.400 0.000
0.000 0.440 0.000
0.500 0.480 0.000
0.000 0.520 0.000
0.500 0.560 0.000
0.000 0.600 0.000
0.500 0.639 0.000
0.000 0.679 0.000
0.500 0.719 0.000
0.000 0.759 0.000
0.500 0.797 0.000
0.500 0.203 0.500
0.000 0.241 0.500
0.500 0.281 0.500
0.000 0.321 0.500
0.500 0.361 0.500
0.000 0.400 0.500
0.500 0.440 0.500
0.000 0.480 0.500
0.500 0.520 0.500
0.000 0.560 0.500
0.500 0.600 0.500
0.000 0.639 0.500
0.500 0.679 0.500
0.000 0.719 0.500
0.500 0.760 0.500
```

* DFT formation energy: 0.080 eV per atom